[1]
Here is a relaxed LaMn2Pt crystal from the Alexandria database. Energies are from PBE-GGA.

Lattice parameters (Å, degrees): 3.271 3.271 7.347 90.00 90.00 90.00
Each line ends with the local moment (μB).
Element x y z (fractional)
Mn  0.000  0.000  0.440  -3.75
Mn  0.000  0.000  0.060  -3.75
La  0.500  0.500  0.750  0.27
Pt  0.500  0.500  0.250  -0.39

**Total magnetization**: 1.958 μB per atom
**VASP energy**: -7.339 eV/atom
**Energy relative to the elements**: -0.274 kcal/mol of atoms


[2]
Here is a relaxed LaMnPt2 crystal from the Alexandria database. Energies are from PBE-GGA.

Lattice parameters (Å, degrees): 9.898 9.898 9.898 17.55 17.55 17.55
Each line ends with the local moment (μB).
Element x y z (fractional)
La  0.503  0.503  0.503  -0.52
Pt  0.257  0.257  0.257  -0.08
Mn  0.737  0.737  0.737  3.75
Pt  0.003  0.003  0.003  0.24

**Total magnetization**: 0.837 μB per atom
**VASP energy**: -6.406 eV/atom
**Energy relative to the elements**: 3.192 kcal/mol of atoms


[3]
Here is a relaxed LaMnPt2 crystal from the Alexandria database. Energies are from PBE-GGA.

Lattice parameters (Å, degrees): 5.419 5.419 5.419 135.27 135.16 65.20
Each line ends with the local moment (μB).
Element x y z (fractional)
Mn  0.750  0.250  0.500  3.87
Pt  0.000  0.000  0.000  0.09
La  0.500  0.500  0.000  -0.02
Pt  0.250  0.750  0.500  0.09

**Total magnetization**: 1.055 μB per atom
**VASP energy**: -7.087 eV/atom
**Energy relative to the elements**: -12.516 kcal/mol of atoms


[4]
Here is a relaxed LaMn2Pt crystal from the Alexandria database. Energies are from PBE-GGA.

Lattice parameters (Å, degrees): 5.678 5.678 5.678 143.82 131.00 62.41
Each line ends with the local moment (μB).
Element x y z (fractional)
Pt  0.250  0.750  0.500  0.11
Mn  0.472  0.472  0.000  3.66
La  0.750  0.250  0.500  -0.14
Mn  0.028  0.028  0.000  3.66

**Total magnetization**: 1.884 μB per atom
**VASP energy**: -7.364 eV/atom
**Energy relative to the elements**: -0.854 kcal/mol of atoms


VASP energy of number 2 (LaMnPt2)?
-6.406 eV/atom


Number 4 is which compound?
LaMn2Pt


What is the formula in the first record?
LaMn2Pt